Entry 1:
Computed, not measured: a geometry-optimized Li2Ac2NpO6 structure at the GGA-PBE level of DFT.

Output
The calculation puts the total magnetic moment at 2.98 μB/cell. The value obtained for the formation energy from raw total energies is -2647 meV per atom. Its space-group type is No. 166. The calculation puts the total energy at -7.6233 eV per atom.

a b c (Å): 6.5472 6.5472 6.5472
angles (deg): 53.62 53.62 53.62
Fractional coordinates of all 11 atoms:
Li 0.0714 0.0714 0.0714
Li 0.9286 0.9286 0.9286
Ac 0.2920 0.2920 0.2920
Ac 0.7080 0.7080 0.7080
Np 0.5000 0.5000 0.5000
O 0.2516 0.2516 0.7178
O 0.2516 0.7178 0.2516
O 0.2822 0.7484 0.7484
O 0.7178 0.2516 0.2516
O 0.7484 0.2822 0.7484
O 0.7484 0.7484 0.2822

Entry 2:
Computed, not measured: a geometry-optimized Li3Ac2NpO6 structure at the GGA-PBE level of DFT.

Output
The calculation puts the total magnetic moment at 3.85 μB/cell. The value obtained for the formation energy from raw total energies is -2509 meV per atom. Its space-group type is No. 12. The calculation puts the total energy at -7.2300 eV per atom.

a b c (Å): 6.6845 6.6845 5.7940
angles (deg): 94.79 94.79 122.23
Fractional coordinates of all 12 atoms:
Li 0.0000 0.0000 0.0000
Li 0.3448 0.6552 0.0000
Li 0.6552 0.3448 0.0000
Ac 0.1669 0.8331 0.5000
Ac 0.8331 0.1669 0.5000
Np 0.5000 0.5000 0.5000
O 0.1542 0.1542 0.3035
O 0.2285 0.5288 0.6905
O 0.4712 0.7715 0.3095
O 0.5288 0.2285 0.6905
O 0.7715 0.4712 0.3095
O 0.8458 0.8458 0.6965